## Sm5Dy12Ho2 (PBE)

Data for crystalline Sm5Dy12Ho2 at its relaxed geometry.

SG: C2/m
Energy relative to the lowest polymorph listed for this composition in eV per atom: 0.103
Energy relative to the elements in meV per atom: 121

The structure in CIF format:
```
data_Sm5Dy12Ho2
_chemical_formula_sum 'Sm5 Dy12 Ho2'
_cell_length_a 9.254
_cell_length_b 9.061
_cell_length_c 8.629
_cell_angle_alpha 92.00
_cell_angle_beta 90.00
_cell_angle_gamma 120.71
_space_group_name_H-M_alt 'P 1'
_space_group_IT_number 1
_space_group_name_Hall 'P 1'
loop_
_atom_site_label
_atom_site_type_symbol
_atom_site_fract_x
_atom_site_fract_y
_atom_site_fract_z
Ho1 Ho 0.328 0.000 0.000
Dy1 Dy 0.178 0.740 0.328
Dy2 Dy 0.073 0.145 0.875
Dy3 Dy 0.562 0.740 0.328
Dy4 Dy 0.327 0.295 0.239
Dy5 Dy 0.822 0.260 0.672
Dy6 Dy 0.032 0.705 0.761
Dy7 Dy 0.927 0.855 0.125
Sm1 Sm 0.231 0.462 0.571
Ho2 Ho 0.672 0.000 0.000
Dy8 Dy 0.557 0.113 0.337
Sm2 Sm 0.293 0.585 0.977
Dy9 Dy 0.968 0.295 0.239
Sm3 Sm 0.769 0.538 0.429
Dy10 Dy 0.438 0.260 0.672
Sm4 Sm 0.707 0.415 0.023
Dy11 Dy 0.673 0.705 0.761
Dy12 Dy 0.443 0.887 0.663
Sm5 Sm 0.000 0.000 0.500
```